--- P ---
Entry from Alexandria: a geometry-optimized Pr5In2Ga structure (PBE).

Space-group type: No. 139
M_tot, μB per cell: 0.00
DOS(E_F), states/eV/cell: 7.68

a b c (Å): 7.157 7.157 6.871
angles (deg): 121.40 121.40 90.03
Positions (direct):
1 Pr 0.722 0.222 0.944
2 Pr 0.222 0.222 0.944
3 Pr 0.722 0.722 0.944
4 Pr 0.222 0.722 0.944
5 Pr 0.722 0.722 0.444
6 In 0.222 0.722 0.444
7 In 0.722 0.222 0.444
8 Ga 0.222 0.222 0.444

--- Q ---
Entry from Alexandria: a geometry-optimized Pr5In2Ga structure (PBE).

Space-group type: No. 55
M_tot, μB per cell: 0.00
DOS(E_F), states/eV/cell: 13.76

a b c (Å): 5.295 6.922 13.412
angles (deg): 90.00 90.00 90.00
Positions (direct):
1 Pr 0.000 0.000 0.500
2 Pr 0.000 0.500 0.000
3 Pr 0.000 0.874 0.220
4 Pr 0.000 0.126 0.780
5 Pr 0.000 0.626 0.720
6 Pr 0.000 0.374 0.280
7 Pr 0.500 0.665 0.406
8 Pr 0.500 0.335 0.594
9 Pr 0.500 0.835 0.906
10 Pr 0.500 0.165 0.094
11 In 0.500 0.627 0.151
12 In 0.500 0.373 0.849
13 In 0.500 0.873 0.651
14 In 0.500 0.127 0.349
15 Ga 0.000 0.500 0.500
16 Ga 0.000 0.000 0.000

If we sort the structures by their calculated energies, the order from most to least stable is Q, P.

--- P ---
Entry from Alexandria: a geometry-optimized PrInGa2 structure (PBE).

Space-group type: No. 123
M_tot, μB per cell: 0.00
DOS(E_F), states/eV/cell: 2.49

a b c (Å): 4.381 4.601 4.601
angles (deg): 90.00 90.00 90.00
Positions (direct):
1 Pr 0.500 0.500 0.500
2 Ga 0.000 0.000 0.500
3 Ga 0.000 0.500 0.000
4 In 0.500 0.000 0.000

--- Q ---
Entry from Alexandria: a geometry-optimized PrInGa2 structure (PBE).

Space-group type: No. 62
M_tot, μB per cell: 0.00
DOS(E_F), states/eV/cell: 8.76

a b c (Å): 4.422 11.647 14.505
angles (deg): 90.00 90.00 90.00
Positions (direct):
1 Pr 0.750 0.466 0.698
2 Pr 0.250 0.966 0.802
3 Pr 0.250 0.534 0.302
4 Pr 0.750 0.034 0.198
5 Pr 0.750 0.246 0.954
6 Pr 0.250 0.746 0.546
7 Pr 0.250 0.754 0.046
8 Pr 0.750 0.254 0.454
9 In 0.750 0.557 0.939
10 In 0.250 0.057 0.561
11 In 0.250 0.443 0.061
12 In 0.750 0.943 0.439
13 In 0.750 0.329 0.210
14 In 0.250 0.829 0.290
15 In 0.250 0.671 0.790
16 In 0.750 0.171 0.710
17 Ga 0.750 0.980 0.960
18 Ga 0.250 0.480 0.540
19 Ga 0.250 0.020 0.040
20 Ga 0.750 0.520 0.460
21 Ga 0.750 0.786 0.884
22 Ga 0.250 0.286 0.616
23 Ga 0.250 0.214 0.116
24 Ga 0.750 0.714 0.384
25 Ga 0.750 0.745 0.697
26 Ga 0.250 0.245 0.803
27 Ga 0.250 0.255 0.303
28 Ga 0.750 0.755 0.197
29 Ga 0.750 0.946 0.639
30 Ga 0.250 0.446 0.861
31 Ga 0.250 0.054 0.361
32 Ga 0.750 0.554 0.139

--- R ---
Entry from Alexandria: a geometry-optimized PrInGa2 structure (PBE).

Space-group type: No. 166
M_tot, μB per cell: 0.00
DOS(E_F), states/eV/cell: 1.21

a b c (Å): 4.567 4.567 5.932
angles (deg): 67.36 67.36 60.00
Positions (direct):
1 Pr 0.500 0.500 0.500
2 Ga 0.730 0.730 0.810
3 Ga 0.270 0.270 0.190
4 In 0.000 0.000 0.000

If we sort the structures by their calculated energies, the order from most to least stable is Q, P, R.

--- P ---
Entry from Alexandria: a geometry-optimized PrInGa4 structure (PBE).

Space-group type: No. 216
M_tot, μB per cell: 0.00
DOS(E_F), states/eV/cell: 5.00

a b c (Å): 5.685 5.685 5.685
angles (deg): 60.00 60.00 60.00
Positions (direct):
1 Pr 0.250 0.250 0.250
2 Ga 0.625 0.625 0.125
3 Ga 0.625 0.125 0.625
4 Ga 0.625 0.625 0.625
5 Ga 0.125 0.625 0.625
6 In 0.000 0.000 0.000

--- Q ---
Entry from Alexandria: a geometry-optimized PrInGa4 structure (PBE).

Space-group type: No. 65
M_tot, μB per cell: 0.00
DOS(E_F), states/eV/cell: 2.56

a b c (Å): 4.499 4.861 6.361
angles (deg): 90.00 110.71 90.00
Positions (direct):
1 Pr 0.500 0.500 0.000
2 In 0.000 0.000 0.000
3 Ga 0.322 0.000 0.643
4 Ga 0.678 0.000 0.357
5 Ga 0.808 0.500 0.616
6 Ga 0.192 0.500 0.384

If we sort the structures by their calculated energies, the order from most to least stable is Q, P.

--- P ---
Entry from Alexandria: a geometry-optimized Pr3InGa2 structure (PBE).

Space-group type: No. 164
M_tot, μB per cell: 0.00
DOS(E_F), states/eV/cell: 5.18

a b c (Å): 5.355 5.355 13.165
angles (deg): 90.00 90.00 120.00
Positions (direct):
1 Pr 0.333 0.667 0.417
2 Pr 0.667 0.333 0.075
3 Pr 0.000 0.000 0.760
4 Pr 0.000 0.000 0.240
5 Pr 0.333 0.667 0.925
6 Pr 0.667 0.333 0.583
7 In 0.333 0.667 0.670
8 In 0.667 0.333 0.330
9 Ga 0.000 0.000 0.500
10 Ga 0.333 0.667 0.170
11 Ga 0.667 0.333 0.830
12 Ga 0.000 0.000 0.000

--- Q ---
Entry from Alexandria: a geometry-optimized Pr3InGa2 structure (PBE).

Space-group type: No. 123
M_tot, μB per cell: 0.00
DOS(E_F), states/eV/cell: 3.69

a b c (Å): 3.764 3.764 11.501
angles (deg): 90.00 90.00 90.00
Positions (direct):
1 Pr 0.000 0.000 0.000
2 Pr 0.000 0.000 0.680
3 Pr 0.000 0.000 0.320
4 In 0.500 0.500 0.500
5 Ga 0.500 0.500 0.839
6 Ga 0.500 0.500 0.161

If we sort the structures by their calculated energies, the order from most to least stable is Q, P.

--- P ---
Entry from Alexandria: a geometry-optimized Pr4InGa structure (PBE).

Space-group type: No. 123
M_tot, μB per cell: 0.00
DOS(E_F), states/eV/cell: 9.26

a b c (Å): 5.227 5.228 7.548
angles (deg): 89.96 89.98 90.01
Positions (direct):
1 Pr 0.501 0.997 0.262
2 Pr 0.501 0.998 0.735
3 Pr 0.001 0.497 0.735
4 Pr 0.001 0.497 0.262
5 In 0.501 0.498 0.998
6 Ga 0.001 0.997 0.498

--- Q ---
Entry from Alexandria: a geometry-optimized Pr4InGa structure (PBE).

Space-group type: No. 47
M_tot, μB per cell: 0.00
DOS(E_F), states/eV/cell: 6.80

a b c (Å): 3.935 8.571 5.867
angles (deg): 89.97 90.00 90.00
Positions (direct):
1 Pr 0.500 0.725 0.000
2 Pr 0.500 0.275 0.000
3 Pr 0.000 0.202 0.500
4 Pr 0.000 0.798 0.500
5 In 0.500 0.500 0.500
6 Ga 0.000 0.000 0.000

If we sort the structures by their calculated energies, the order from most to least stable is P, Q.

--- P ---
Entry from Alexandria: a geometry-optimized PrSmInGa structure (PBE).

Space-group type: No. 216
M_tot, μB per cell: 0.00
DOS(E_F), states/eV/cell: 1.50

a b c (Å): 5.352 5.352 5.352
angles (deg): 60.00 60.00 60.00
Positions (direct):
1 Pr 0.500 0.500 0.500
2 Ga 0.250 0.250 0.250
3 Sm 0.000 0.000 0.000
4 In 0.750 0.750 0.750

--- Q ---
Entry from Alexandria: a geometry-optimized PrSmInGa structure (PBE).

Space-group type: No. 99
M_tot, μB per cell: 0.00
DOS(E_F), states/eV/cell: 2.33

a b c (Å): 3.757 3.757 7.658
angles (deg): 90.00 90.00 90.00
Positions (direct):
1 Pr 0.500 0.500 0.120
2 Sm 0.500 0.500 0.593
3 In 0.000 0.000 0.850
4 Ga 0.000 0.000 0.365

If we sort the structures by their calculated energies, the order from most to least stable is Q, P.

--- P ---
Entry from Alexandria: a geometry-optimized PrYInGa structure (PBE).

Space-group type: No. 99
M_tot, μB per cell: 0.00
DOS(E_F), states/eV/cell: 2.09

a b c (Å): 3.717 3.717 7.605
angles (deg): 90.00 90.00 90.00
Positions (direct):
1 Pr 0.500 0.500 0.120
2 Y 0.500 0.500 0.593
3 In 0.000 0.000 0.843
4 Ga 0.000 0.000 0.372

--- Q ---
Entry from Alexandria: a geometry-optimized PrYInGa structure (PBE).

Space-group type: No. 216
M_tot, μB per cell: 0.00
DOS(E_F), states/eV/cell: 1.46

a b c (Å): 5.307 5.307 5.307
angles (deg): 60.00 60.00 60.00
Positions (direct):
1 Pr 0.500 0.500 0.500
2 Y 0.000 0.000 0.000
3 Ga 0.250 0.250 0.250
4 In 0.750 0.750 0.750

If we sort the structures by their calculated energies, the order from most to least stable is P, Q.

--- P ---
Entry from Alexandria: a geometry-optimized InGaPt3 structure (PBE).

Space-group type: No. 1
M_tot, μB per cell: 0.00
DOS(E_F), states/eV/cell: 2.56

a b c (Å): 5.568 5.569 8.210
angles (deg): 70.02 70.04 60.01
Positions (direct):
1 In 0.463 0.589 0.403
2 In 0.679 0.807 0.752
3 Ga 0.047 0.175 0.646
4 Ga 0.887 0.015 0.129
5 Pt 0.967 0.092 0.391
6 Pt 0.618 0.270 0.886
7 Pt 0.142 0.746 0.887
8 Pt 0.143 0.271 0.885
9 Pt 0.967 0.593 0.390
10 Pt 0.468 0.092 0.392

--- Q ---
Entry from Alexandria: a geometry-optimized InGaPt3 structure (PBE).

Space-group type: No. 221
M_tot, μB per cell: 0.00
DOS(E_F), states/eV/cell: 7.87

a b c (Å): 4.995 4.995 4.995
angles (deg): 90.00 90.00 90.00
Positions (direct):
1 Ga 0.500 0.500 0.500
2 Pt 0.000 0.500 0.000
3 Pt 0.000 0.000 0.500
4 Pt 0.500 0.000 0.000
5 In 0.000 0.000 0.000

--- R ---
Entry from Alexandria: a geometry-optimized InGaPt3 structure (PBE).

Space-group type: No. 221
M_tot, μB per cell: 0.00
DOS(E_F), states/eV/cell: 3.12

a b c (Å): 4.657 4.657 4.657
angles (deg): 90.00 90.00 90.00
Positions (direct):
1 Ga 0.000 0.000 0.000
2 Pt 0.000 0.500 0.000
3 Pt 0.000 0.000 0.500
4 Pt 0.500 0.000 0.000
5 In 0.500 0.500 0.500

If we sort the structures by their calculated energies, the order from most to least stable is P, R, Q.

--- P ---
Entry from Alexandria: a geometry-optimized In3GaPt structure (PBE).

Space-group type: No. 221
M_tot, μB per cell: 0.00
DOS(E_F), states/eV/cell: 3.46

a b c (Å): 5.156 5.156 5.156
angles (deg): 90.00 90.00 90.00
Positions (direct):
1 Ga 0.000 0.000 0.000
2 Pt 0.500 0.500 0.500
3 In 0.000 0.500 0.000
4 In 0.000 0.000 0.500
5 In 0.500 0.000 0.000

--- Q ---
Entry from Alexandria: a geometry-optimized In3GaPt structure (PBE).

Space-group type: No. 12
M_tot, μB per cell: 0.00
DOS(E_F), states/eV/cell: 4.61

a b c (Å): 6.881 6.881 6.796
angles (deg): 104.56 123.39 102.01
Positions (direct):
1 In 0.825 0.008 0.224
2 In 0.215 0.399 0.224
3 In 0.785 0.601 0.776
4 In 0.750 0.451 0.200
5 In 0.175 0.992 0.776
6 In 0.250 0.549 0.800
7 Ga 0.706 0.063 0.768
8 Ga 0.294 0.937 0.232
9 Pt 0.620 0.765 0.385
10 Pt 0.380 0.235 0.615

If we sort the structures by their calculated energies, the order from most to least stable is Q, P.

--- P ---
Entry from Alexandria: a geometry-optimized Pu2InGa structure (PBE).

Space-group type: No. 225
M_tot, μB per cell: 11.62
DOS(E_F), states/eV/cell: 15.02

a b c (Å): 5.215 5.215 5.215
angles (deg): 60.00 60.00 60.00
Positions (direct):
1 In 0.000 0.000 0.000
2 Ga 0.500 0.500 0.500
3 Pu 0.250 0.250 0.250
4 Pu 0.750 0.750 0.750

--- Q ---
Entry from Alexandria: a geometry-optimized Pu2InGa structure (PBE).

Space-group type: No. 123
M_tot, μB per cell: 11.13
DOS(E_F), states/eV/cell: 10.93

a b c (Å): 4.763 4.439 4.439
angles (deg): 90.00 90.00 90.00
Positions (direct):
1 In 0.500 0.000 0.000
2 Ga 0.500 0.500 0.500
3 Pu 0.000 0.000 0.500
4 Pu 0.000 0.500 0.000

--- R ---
Entry from Alexandria: a geometry-optimized Pu2InGa structure (PBE).

Space-group type: No. 166
M_tot, μB per cell: 11.62
DOS(E_F), states/eV/cell: 15.10

a b c (Å): 3.312 3.312 10.653
angles (deg): 81.06 81.06 60.00
Positions (direct):
1 In 0.500 0.500 0.500
2 Ga 0.000 0.000 0.000
3 Pu 0.256 0.256 0.232
4 Pu 0.744 0.744 0.768

If we sort the structures by their calculated energies, the order from most to least stable is Q, P, R.

--- P ---
Entry from Alexandria: a geometry-optimized PuIn2Ga structure (PBE).

Space-group type: No. 123
M_tot, μB per cell: 5.57
DOS(E_F), states/eV/cell: 11.41

a b c (Å): 4.667 4.495 4.495
angles (deg): 90.00 90.00 90.00
Positions (direct):
1 In 0.000 0.000 0.500
2 In 0.000 0.500 0.000
3 Ga 0.500 0.000 0.000
4 Pu 0.500 0.500 0.500

--- Q ---
Entry from Alexandria: a geometry-optimized PuIn2Ga structure (PBE).

Space-group type: No. 129
M_tot, μB per cell: 11.48
DOS(E_F), states/eV/cell: 21.36

a b c (Å): 4.701 4.701 8.713
angles (deg): 90.00 90.00 90.00
Positions (direct):
1 Pu 0.000 0.500 0.215
2 Pu 0.500 0.000 0.785
3 In 0.000 0.000 0.500
4 In 0.500 0.500 0.500
5 In 0.000 0.500 0.774
6 In 0.500 0.000 0.226
7 Ga 0.000 0.000 0.000
8 Ga 0.500 0.500 0.000

If we sort the structures by their calculated energies, the order from most to least stable is P, Q.